# 1
{
  "formula": "RbCu4Se5",
  "functional": "GGA-PBE",
  "state": "optimized geometry",
  "lattice_angstrom": [[7.5025, 0.0000, 0.0000], [0.0000, 11.0840, 0.0000], [0.0000, 0.0000, 5.3226]],
  "species": ["Rb", "Rb", "Cu", "Cu", "Cu", "Cu", "Cu", "Cu", "Cu", "Cu", "Se", "Se", "Se", "Se", "Se", "Se", "Se", "Se", "Se", "Se"],
  "fractional_positions": [[0.2500, 0.2500, 0.1726], [0.7500, 0.7500, 0.8274], [0.0728, 0.7500, 0.3844], [0.2500, 0.5451, 0.9515], [0.2500, 0.9549, 0.9515], [0.4272, 0.7500, 0.3844], [0.5728, 0.2500, 0.6156], [0.7500, 0.0451, 0.0485], [0.7500, 0.4549, 0.0485], [0.9272, 0.2500, 0.6156], [0.0035, 0.5501, 0.2764], [0.0035, 0.9499, 0.2764], [0.2500, 0.7500, 0.7651], [0.4965, 0.5501, 0.2764], [0.4965, 0.9499, 0.2764], [0.5035, 0.0501, 0.7236], [0.5035, 0.4499, 0.7236], [0.7500, 0.2500, 0.2349], [0.9965, 0.0501, 0.7236], [0.9965, 0.4499, 0.7236]]
}

---

# 2
{
  "formula": "RbCuSe3",
  "functional": "GGA-PBE",
  "state": "optimized geometry",
  "lattice_angstrom": [[5.0002, 0.0000, 0.0000], [0.0000, 5.0002, 0.0000], [0.0000, 0.0000, 5.0002]],
  "species": ["Rb", "Cu", "Se", "Se", "Se"],
  "fractional_positions": [[0.0000, 0.0000, 0.0000], [0.5000, 0.5000, 0.5000], [0.0000, 0.5000, 0.5000], [0.5000, 0.0000, 0.5000], [0.5000, 0.5000, 0.0000]]
}

---

# 3
{
  "formula": "RbCuSe3",
  "functional": "GGA-PBE",
  "state": "optimized geometry",
  "lattice_angstrom": [[3.9132, 2.2593, 4.7451], [-3.9132, 2.2593, 4.7451], [0.0000, -4.5186, 4.7451]],
  "species": ["Rb", "Rb", "Cu", "Cu", "Se", "Se", "Se", "Se", "Se", "Se"],
  "fractional_positions": [[0.2500, 0.2500, 0.2500], [0.7500, 0.7500, 0.7500], [0.0000, 0.0000, 0.0000], [0.5000, 0.5000, 0.5000], [0.2487, 0.7500, 0.2513], [0.2500, 0.7487, 0.7513], [0.2513, 0.2487, 0.7500], [0.7487, 0.7513, 0.2500], [0.7500, 0.2513, 0.2487], [0.7513, 0.2500, 0.7487]]
}

---

# 4
{
  "formula": "RbCuSe2",
  "functional": "GGA-PBE",
  "state": "optimized geometry",
  "lattice_angstrom": [[9.1890, 0.0000, 0.0000], [0.0000, 9.6904, 0.0000], [-2.0142, 0.0000, 5.0458]],
  "species": ["Rb", "Rb", "Rb", "Rb", "Cu", "Cu", "Cu", "Cu", "Se", "Se", "Se", "Se", "Se", "Se", "Se", "Se"],
  "fractional_positions": [[0.0000, 0.1494, 0.0000], [0.0000, 0.8506, 0.5000], [0.5000, 0.3506, 0.5000], [0.5000, 0.6494, 0.0000], [0.4992, 0.0642, 0.0008], [0.4992, 0.9358, 0.5008], [0.9992, 0.4358, 0.5008], [0.9992, 0.5642, 0.0008], [0.2298, 0.3684, 0.8323], [0.2298, 0.6316, 0.3323], [0.2697, 0.1319, 0.6673], [0.2697, 0.8681, 0.1673], [0.7298, 0.1316, 0.3323], [0.7298, 0.8684, 0.8323], [0.7697, 0.3681, 0.1673], [0.7697, 0.6319, 0.6673]]
}

---

# 5
{
  "formula": "RbCuSe4",
  "functional": "GGA-PBE",
  "state": "optimized geometry",
  "lattice_angstrom": [[5.5718, 0.0000, 0.0000], [0.0000, 9.0318, 0.0000], [0.0000, 0.0000, 13.8600]],
  "species": ["Rb", "Rb", "Rb", "Rb", "Cu", "Cu", "Cu", "Cu", "Se", "Se", "Se", "Se", "Se", "Se", "Se", "Se", "Se", "Se", "Se", "Se", "Se", "Se", "Se", "Se"],
  "fractional_positions": [[0.1876, 0.0593, 0.3336], [0.3124, 0.9407, 0.8336], [0.6876, 0.4407, 0.6664], [0.8124, 0.5593, 0.1664], [0.0300, 0.1364, 0.0641], [0.4700, 0.8636, 0.5641], [0.5300, 0.3636, 0.9359], [0.9700, 0.6364, 0.4359], [0.0792, 0.5888, 0.9348], [0.1380, 0.6976, 0.5951], [0.1572, 0.8831, 0.0963], [0.1577, 0.3672, 0.8389], [0.3423, 0.6328, 0.3389], [0.3428, 0.1169, 0.5963], [0.3620, 0.3024, 0.0951], [0.4208, 0.4112, 0.4348], [0.5792, 0.9112, 0.0652], [0.6380, 0.8024, 0.4049], [0.6572, 0.6169, 0.9037], [0.6577, 0.1328, 0.1611], [0.8423, 0.8672, 0.6611], [0.8428, 0.3831, 0.4037], [0.8620, 0.1976, 0.9049], [0.9208, 0.0888, 0.5652]]
}

---

# 6
{
  "formula": "RbCu3Se",
  "functional": "GGA-PBE",
  "state": "optimized geometry",
  "relative_energy_mev_per_atom": 0,
  "lattice_angstrom": [[4.9368, 0.0000, 0.0000], [0.0000, 4.9368, 0.0000], [0.0000, 0.0000, 4.9368]],
  "species": ["Rb", "Cu", "Cu", "Cu", "Se"],
  "fractional_positions": [[0.0000, 0.0000, 0.0000], [0.0000, 0.5000, 0.5000], [0.5000, 0.0000, 0.5000], [0.5000, 0.5000, 0.0000], [0.5000, 0.5000, 0.5000]]
}

---

# 7
{
  "formula": "RbCu3Se",
  "functional": "GGA-PBE",
  "state": "optimized geometry",
  "relative_energy_mev_per_atom": 1353,
  "lattice_angstrom": [[5.1831, 0.0000, 0.0000], [0.0000, 5.1831, 0.0000], [0.0000, 0.0000, 5.1831]],
  "species": ["Rb", "Cu", "Cu", "Cu", "Se"],
  "fractional_positions": [[0.0000, 0.0000, 0.0000], [0.0000, 0.0000, 0.5000], [0.0000, 0.5000, 0.0000], [0.5000, 0.0000, 0.0000], [0.5000, 0.5000, 0.5000]]
}

---

# 8
{
  "formula": "Rb3CuSe",
  "functional": "GGA-PBE",
  "state": "optimized geometry",
  "relative_energy_mev_per_atom": 0,
  "lattice_angstrom": [[6.5680, 0.0000, 0.0000], [0.0000, 6.5680, 0.0000], [0.0000, 0.0000, 6.5680]],
  "species": ["Rb", "Rb", "Rb", "Cu", "Se"],
  "fractional_positions": [[0.0000, 0.0000, 0.5000], [0.0000, 0.5000, 0.0000], [0.5000, 0.0000, 0.0000], [0.5000, 0.5000, 0.5000], [0.0000, 0.0000, 0.0000]]
}

---

# 9
{
  "formula": "Rb3Cu4Se4",
  "functional": "GGA-PBE",
  "state": "optimized geometry",
  "lattice_angstrom": [[4.1734, 0.0000, 0.0000], [0.0013, 5.2860, 0.0000], [2.0086, 0.1511, 14.6388]],
  "species": ["Rb", "Rb", "Rb", "Cu", "Cu", "Cu", "Cu", "Se", "Se", "Se", "Se"],
  "fractional_positions": [[0.0000, 0.0000, 0.0000], [0.3501, 0.9828, 0.2946], [0.6499, 0.0172, 0.7054], [0.1056, 0.5141, 0.7952], [0.2723, 0.4851, 0.4540], [0.7277, 0.5149, 0.5460], [0.8944, 0.4859, 0.2048], [0.1895, 0.5211, 0.6251], [0.4277, 0.4876, 0.1355], [0.5723, 0.5124, 0.8645], [0.8105, 0.4789, 0.3749]]
}

---

# 10
{
  "formula": "RbCu4Se3",
  "functional": "GGA-PBE",
  "state": "optimized geometry",
  "lattice_angstrom": [[4.0560, 0.0000, 0.0000], [0.0000, 4.0560, 0.0000], [0.0000, 0.0000, 10.0458]],
  "species": ["Rb", "Cu", "Cu", "Cu", "Cu", "Se", "Se", "Se"],
  "fractional_positions": [[0.0000, 0.0000, 0.0000], [0.0000, 0.5000, 0.3433], [0.0000, 0.5000, 0.6567], [0.5000, 0.0000, 0.3433], [0.5000, 0.0000, 0.6567], [0.0000, 0.0000, 0.5000], [0.5000, 0.5000, 0.2088], [0.5000, 0.5000, 0.7912]]
}

---

# 11
{
  "formula": "RbCu2SiSe4",
  "functional": "GGA-PBE",
  "state": "optimized geometry",
  "lattice_angstrom": [[6.4292, 0.0000, 0.0000], [0.0000, 8.0522, 0.0000], [0.0000, 0.0000, 8.7823]],
  "species": ["Rb", "Rb", "Cu", "Cu", "Cu", "Cu", "Si", "Si", "Se", "Se", "Se", "Se", "Se", "Se", "Se", "Se"],
  "fractional_positions": [[0.0000, 0.0000, 0.0000], [0.5000, 0.5000, 0.5000], [0.0000, 0.5000, 0.1396], [0.0000, 0.5000, 0.8604], [0.5000, 0.0000, 0.3604], [0.5000, 0.0000, 0.6396], [0.0000, 0.0000, 0.5000], [0.5000, 0.5000, 0.0000], [0.2095, 0.1676, 0.3529], [0.2095, 0.8324, 0.6471], [0.2905, 0.3324, 0.8529], [0.2905, 0.6676, 0.1471], [0.7095, 0.3324, 0.1471], [0.7095, 0.6676, 0.8529], [0.7905, 0.1676, 0.6471], [0.7905, 0.8324, 0.3529]]
}

---

# 12
{
  "formula": "RbCuSiSe3",
  "functional": "GGA-PBE",
  "state": "optimized geometry",
  "lattice_angstrom": [[6.5892, -3.7962, 0.0000], [6.5892, 3.7962, 0.0000], [-2.3039, 0.0000, 7.9563]],
  "species": ["Rb", "Rb", "Cu", "Cu", "Si", "Si", "Se", "Se", "Se", "Se", "Se", "Se"],
  "fractional_positions": [[0.1951, 0.1951, 0.2355], [0.8049, 0.8049, 0.7645], [0.3026, 0.6974, 0.5000], [0.6974, 0.3026, 0.5000], [0.4650, 0.4650, 0.7360], [0.5350, 0.5350, 0.2640], [0.1895, 0.6880, 0.2149], [0.2944, 0.2944, 0.6860], [0.3120, 0.8105, 0.7851], [0.6880, 0.1895, 0.2149], [0.7056, 0.7056, 0.3140], [0.8105, 0.3120, 0.7851]]
}

---

The calculation returns the following ΔE_f (raw) values, one per record and in order: -260.5 -140.6 -177.4 -513.5 -414.9 387.0 1739.5 -310.0 -578.2 -364.4 -444.7 -536.7 meV per atom.